The following is a DFT calculation (PBE) of an optimized crystal structure of AcPm2SmS4.

**Total magnetization**: 0.0 μB/f.u.
**Uncorrected formation energy**: -46.20 kcal/mol of atoms
**VASP energy**: -6.3584 eV per atom

Lattice parameters (Å, degrees): 7.108 4.064 7.139 90.00 109.11 90.00
Fractional positions:
1 Ac 0.000 0.000 0.000
2 Pm 0.500 0.000 0.500
3 Pm 0.500 0.500 0.000
4 Sm 0.000 0.500 0.500
5 S 0.254 0.000 0.742
6 S 0.261 0.500 0.263
7 S 0.739 0.500 0.737
8 S 0.746 0.000 0.258

***

The following is a DFT calculation (PBE) of an optimized crystal structure of Ac4PmSm3S8.

**Total magnetization**: 0.0 μB/f.u.
**Uncorrected formation energy**: -46.24 kcal/mol of atoms
**VASP energy**: -6.2775 eV per atom

Lattice parameters (Å, degrees): 8.362 8.362 8.362 59.35 59.35 59.35
Fractional positions:
1 Ac 0.000 0.000 0.000
2 Ac 0.000 0.500 0.500
3 Ac 0.500 0.000 0.500
4 Ac 0.500 0.500 0.000
5 Pm 0.500 0.500 0.500
6 Sm 0.000 0.000 0.500
7 Sm 0.000 0.500 0.000
8 Sm 0.500 0.000 0.000
9 S 0.242 0.744 0.744
10 S 0.243 0.243 0.243
11 S 0.256 0.256 0.758
12 S 0.256 0.758 0.256
13 S 0.744 0.242 0.744
14 S 0.744 0.744 0.242
15 S 0.757 0.757 0.757
16 S 0.758 0.256 0.256

***

The following is a DFT calculation (PBE) of an optimized crystal structure of SrAc3Pm2S6.

**Total magnetization**: 0.0 μB/f.u.
**Uncorrected formation energy**: -46.40 kcal/mol of atoms
**VASP energy**: -6.0349 eV per atom

Lattice parameters (Å, degrees): 7.273 7.273 7.298 99.51 99.51 120.02
Fractional positions:
1 Sr 0.000 0.000 0.000
2 Ac 0.165 0.835 0.500
3 Ac 0.500 0.500 0.500
4 Ac 0.835 0.165 0.500
5 Pm 0.333 0.667 0.000
6 Pm 0.667 0.333 0.000
7 S 0.079 0.417 0.236
8 S 0.261 0.261 0.767
9 S 0.417 0.079 0.236
10 S 0.583 0.921 0.764
11 S 0.739 0.739 0.233
12 S 0.921 0.583 0.764

***

The following is a DFT calculation (PBE) of an optimized crystal structure of Sr3Ac3PmS8.

**Total magnetization**: 0.0 μB/f.u.
**Uncorrected formation energy**: -47.85 kcal/mol of atoms
**VASP energy**: -5.7510 eV per atom

Lattice parameters (Å, degrees): 8.554 8.554 8.554 59.95 59.95 59.95
Fractional positions:
1 Sr 0.000 0.500 0.500
2 Sr 0.500 0.000 0.500
3 Sr 0.500 0.500 0.000
4 Ac 0.000 0.000 0.500
5 Ac 0.000 0.500 0.000
6 Ac 0.500 0.000 0.000
7 Pm 0.500 0.500 0.500
8 S 0.251 0.251 0.251
9 S 0.262 0.736 0.736
10 S 0.264 0.264 0.738
11 S 0.264 0.738 0.264
12 S 0.736 0.262 0.736
13 S 0.736 0.736 0.262
14 S 0.738 0.264 0.264
15 S 0.749 0.749 0.749

***

The following is a DFT calculation (PBE) of an optimized crystal structure of AcTb2PmS4.

**Total magnetization**: 0.0 μB/f.u.
**Uncorrected formation energy**: -46.00 kcal/mol of atoms
**VASP energy**: -6.3235 eV per atom

Lattice parameters (Å, degrees): 6.959 3.988 7.159 90.00 108.71 90.00
Fractional positions:
1 Ac 0.000 0.000 0.000
2 Tb 0.000 0.500 0.500
3 Tb 0.500 0.000 0.500
4 Pm 0.500 0.500 0.000
5 S 0.251 0.000 0.733
6 S 0.265 0.500 0.273
7 S 0.735 0.500 0.727
8 S 0.749 0.000 0.267

***

The following is a DFT calculation (PBE) of an optimized crystal structure of Ac3Tb3PmS8.

**Total magnetization**: 0.0 μB/f.u.
**Uncorrected formation energy**: -46.94 kcal/mol of atoms
**VASP energy**: -6.3013 eV per atom

Lattice parameters (Å, degrees): 8.323 8.323 8.323 58.16 58.16 58.16
Fractional positions:
1 Ac 0.000 0.500 0.500
2 Ac 0.500 0.000 0.500
3 Ac 0.500 0.500 0.000
4 Tb 0.000 0.000 0.500
5 Tb 0.000 0.500 0.000
6 Tb 0.500 0.000 0.000
7 Pm 0.500 0.500 0.500
8 S 0.235 0.747 0.747
9 S 0.241 0.241 0.241
10 S 0.253 0.253 0.765
11 S 0.253 0.765 0.253
12 S 0.747 0.235 0.747
13 S 0.747 0.747 0.235
14 S 0.759 0.759 0.759
15 S 0.765 0.253 0.253